(1)
LiAgTePd GGA-PBE relaxed; calculated density = 7979 kg/m3; distance to the lowest polymorph of the same formula = 0.0000 eV/atom
1.0
0.0000 3.3111 3.3111
3.3111 0.0000 3.3111
3.3111 3.3111 0.0000
Ag Li Pd Te
1 1 1 1
Direct
0.5000 0.5000 0.5000
0.7500 0.7500 0.7500
0.2500 0.2500 0.2500
0.0000 0.0000 0.0000



(2)
Hf2Sb2OsPd GGA-PBE relaxed; calculated density = 11686 kg/m3; electronic total energy = -96.92 eV/cell
1.0
6.3446 0.0000 0.0000
0.0000 6.3446 0.0000
3.1723 3.1723 6.3341
Hf Os Pd Sb
4 2 2 4
Direct
0.6250 0.6290 0.2500
0.1250 0.1210 0.2500
0.3710 0.8750 0.7500
0.8790 0.3750 0.7500
0.0000 0.0000 0.0000
0.2500 0.7500 0.5000
0.5000 0.5000 0.0000
0.7500 0.2500 0.5000
0.1250 0.6299 0.2500
0.6250 0.1201 0.2500
0.8799 0.8750 0.7500
0.3701 0.3750 0.7500



(3)
Y3Mg2CdAgAu2 GGA-PBE relaxed; calculated density = 7441 kg/m3; electronic total energy = -38.01 eV/cell
1.0
-1.9785 3.0466 -1.6201
-6.5455 -4.1314 0.2244
1.9165 4.4548 6.0369
Ag Au Cd Mg Y
1 2 1 2 3
Direct
0.0000 0.0114 0.0114
0.5000 0.6635 0.3215
0.5000 0.3215 0.6635
0.5000 0.7472 0.7472
0.5000 0.2532 0.0016
0.5000 0.0016 0.2532
0.0000 0.4207 0.4207
0.0000 0.9924 0.5885
0.0000 0.5885 0.9924



(4)
LiCuGe2 GGA-PBE relaxed; calculated density = 5634 kg/m3; electronic total energy = -14.66 eV/cell
1.0
0.0000 3.1680 3.1680
3.1680 0.0000 3.1680
3.1680 3.1680 0.0000
Cu Ge Li
1 2 1
Direct
0.2500 0.2500 0.2500
0.0000 0.0000 0.0000
0.7500 0.7500 0.7500
0.5000 0.5000 0.5000



(5)
Gd5O GGA-PBE relaxed; calculated density = 6738 kg/m3; electronic total energy = -23.06 eV/cell
1.0
6.1584 0.0000 0.0000
-3.0792 5.3334 0.0000
0.0000 0.0000 6.0193
Gd O
5 1
Direct
0.6667 0.3333 0.0000
0.3333 0.6667 0.0000
0.5000 0.0000 0.5000
0.0000 0.5000 0.5000
0.5000 0.5000 0.5000
0.0000 0.0000 0.0000



(6)
NaNpMo GGA-PBE relaxed; calculated density = 8531 kg/m3; electronic total energy = -19.46 eV/cell
1.0
-0.4225 1.3576 4.3854
-3.2186 -1.8977 2.7006
1.2380 -2.8333 3.4196
Mo Na Np
1 1 1
Direct
0.2500 0.2500 0.2500
0.7500 0.7500 0.7500
0.0000 0.0000 0.0000



(7)
Tb2Ge5Os3 GGA-PBE relaxed; calculated density = 11493 kg/m3; electronic total energy = -141.17 eV/cell
1.0
-4.9617 6.2324 2.9241
4.9617 -6.2324 2.9241
4.9617 6.2324 -2.9241
Ge Os Tb
10 6 4
Direct
0.2500 0.2500 0.0000
0.7500 0.7500 0.0000
0.9134 0.3253 0.2388
0.5419 0.2500 0.2919
0.0419 0.7500 0.2919
0.5866 0.8253 0.4119
0.4134 0.1747 0.5881
0.9581 0.2500 0.7081
0.4581 0.7500 0.7081
0.0866 0.6747 0.7612
0.1482 0.9046 0.0528
0.6482 0.5954 0.2436
0.7500 0.2500 0.5000
0.2500 0.7500 0.5000
0.3518 0.4046 0.7564
0.8518 0.0954 0.9472
0.3591 0.7306 0.0898
0.1409 0.2306 0.3715
0.8591 0.7694 0.6285
0.6409 0.2694 0.9102



(8)
CuTePbF GGA-PBE relaxed; calculated density = 7818 kg/m3; distance to the lowest polymorph of the same formula = 0.1244 eV/atom
1.0
-3.7911 2.3659 4.9203
-5.0500 0.9451 -4.3455
-2.6465 -7.3241 1.4826
Cu F Pb Te
4 4 4 4
Direct
0.2215 0.5260 0.1198
0.7785 0.0260 0.3802
0.2785 0.4740 0.6198
0.7215 0.9740 0.8802
0.1365 0.8458 0.0414
0.8635 0.3458 0.4586
0.3635 0.1542 0.5414
0.6365 0.6542 0.9586
0.8078 0.5941 0.2233
0.1922 0.0941 0.2767
0.6922 0.4059 0.7233
0.3078 0.9059 0.7767
0.6190 0.1707 0.1268
0.3810 0.6707 0.3732
0.8810 0.8293 0.6268
0.1190 0.3293 0.8732



(9)
NbZnOs GGA-PBE relaxed; calculated density = 10419 kg/m3; E_form = 0.300 eV per atom
1.0
0.0000 3.0284 3.0284
3.0284 0.0000 3.0284
3.0284 3.0284 0.0000
Nb Os Zn
1 1 1
Direct
0.2500 0.2500 0.2500
0.0000 0.0000 0.0000
0.7500 0.7500 0.7500



(10)
LiSb5Mo3 GGA-PBE relaxed; calculated density = 6550 kg/m3; electronic total energy = -54.07 eV/cell
1.0
5.5650 0.0000 0.0000
-2.7825 4.8194 0.0000
0.0000 0.0000 8.5415
Li Mo Sb
1 3 5
Direct
0.0000 0.0000 0.0000
0.5000 0.0000 0.5000
0.0000 0.5000 0.5000
0.5000 0.5000 0.5000
0.6667 0.3333 0.2212
0.3333 0.6667 0.2212
0.0000 0.0000 0.5000
0.6667 0.3333 0.7788
0.3333 0.6667 0.7788



(11)
USnPt GGA-PBE relaxed; calculated density = 13766 kg/m3; electronic total energy = -68.47 eV/cell
1.0
7.4127 0.0000 0.0000
-3.7064 6.4196 0.0000
0.0000 0.0000 4.1965
Pt Sn U
3 3 3
Direct
0.6667 0.3333 0.0000
0.3333 0.6667 0.0000
0.0000 0.0000 0.5000
0.2522 0.0000 0.0000
0.0000 0.2522 0.0000
0.7478 0.7478 0.0000
0.5836 0.0000 0.5000
0.4164 0.4164 0.5000
0.0000 0.5836 0.5000



(12)
SrNbAs GGA-PBE relaxed; calculated density = 5550 kg/m3; distance to the lowest polymorph of the same formula = 0.0000 eV/atom
1.0
-4.5498 0.0803 1.4085
-2.0522 4.1307 1.1904
-3.3332 1.9036 -2.8208
As Nb Sr
1 1 1
Direct
0.0000 0.0000 0.0000
0.2500 0.2500 0.2500
0.7500 0.7500 0.7500